# NbVGaO6

A relaxed NbVGaO6 crystal (PBE with a Hubbard U, Alexandria via LeMat-Bulk).

Cell lengths 4.650, 4.650, 9.143 Å; angles 90.00, 90.00, 90.00 degrees
Atoms (fractional coordinates):
1 Nb 0.000 0.000 0.000
2 Nb 0.500 0.500 0.500
3 V 0.000 0.000 0.331
4 V 0.500 0.500 0.831
5 Ga 0.000 0.000 0.662
6 Ga 0.500 0.500 0.162
7 O 0.193 0.193 0.493
8 O 0.198 0.198 0.161
9 O 0.205 0.205 0.828
10 O 0.295 0.705 0.328
11 O 0.302 0.698 0.661
12 O 0.307 0.693 0.993
13 O 0.693 0.307 0.993
14 O 0.698 0.302 0.661
15 O 0.705 0.295 0.328
16 O 0.795 0.795 0.828
17 O 0.802 0.802 0.161
18 O 0.807 0.807 0.493

Volume   10.981 Å³/atom
DOS(E_F)   0.00 states/eV/cell
Density   5.201 g/cm³
M_tot   2.0 μB per cell
E   -7.721 eV per atom